Entry 1:
First-principles (PBE-GGA) data for a geometry-optimized HgSb2Mo structure, as listed in the Alexandria database.

Calculated values
Offset from the most stable computed form = 507.3 meV per atom
Formation energy from raw total energies = 0.63 eV per atom
SG = I-4m2, No. 119
Theoretical density = 10.0 g/cm³
Size of the total moment = 1.87 Bohr magnetons per cell

a = 5.7891 Å, b = 5.7891 Å, c = 5.7891 Å
α = 136.82°, β = 136.82°, γ = 62.71°
Site moments in Bohr magnetons follow the coordinates.
Atoms (fractional coordinates):
Hg  0.5000  0.5000  0.0000  -0.01
Mo  0.7500  0.2500  0.5000  1.73
Sb  0.0000  0.0000  0.0000  -0.04
Sb  0.2500  0.7500  0.5000  -0.02



Entry 2:
First-principles (PBE-GGA) data for a geometry-optimized HgSb2Mo structure, as listed in the Alexandria database.

Calculated values
Offset from the most stable computed form = 0.0 meV per atom
Formation energy from raw total energies = 0.12 eV per atom
SG = P4/mmm, No. 123
Theoretical density = 9.2 g/cm³
Size of the total moment = 0.00 Bohr magnetons per cell

a = 3.3298 Å, b = 3.3290 Å, c = 8.7811 Å
α = 90.00°, β = 90.00°, γ = 90.00°
Atoms (fractional coordinates):
Hg  0.5000  0.5000  0.2500
Mo  0.5000  0.5000  0.7500
Sb  0.0000  0.0000  0.9355
Sb  0.0000  0.0000  0.5645



Entry 3:
First-principles (PBE-GGA) data for a geometry-optimized Hg2SbMo structure, as listed in the Alexandria database.

Calculated values
Formation energy from raw total energies = 0.40 eV per atom
SG = Cm, No. 8
Theoretical density = 11.6 g/cm³
Size of the total moment = 0.00 Bohr magnetons per cell

a = 5.3317 Å, b = 5.3317 Å, c = 5.8274 Å
α = 62.88°, β = 62.88°, γ = 37.71°
Atoms (fractional coordinates):
Hg  0.0092  0.0092  0.9674
Hg  0.7853  0.7853  0.7905
Mo  0.4990  0.4990  0.3684
Sb  0.2065  0.2065  0.3737



Entry 4:
First-principles (PBE-GGA) data for a geometry-optimized HgSbMo structure, as listed in the Alexandria database.

Calculated values
Offset from the most stable computed form = 73.5 meV per atom
Formation energy from raw total energies = 0.51 eV per atom
SG = Fmm2, No. 42
Theoretical density = 10.1 g/cm³
Size of the total moment = 1.09 Bohr magnetons per cell

a = 7.2201 Å, b = 7.2217 Å, c = 3.1603 Å
α = 77.33°, β = 77.39°, γ = 25.28°
Site moments in Bohr magnetons follow the coordinates.
Atoms (fractional coordinates):
Hg  0.9703  0.9703  0.0297  0.02
Mo  0.3310  0.3310  0.6690  0.88
Sb  0.6987  0.6987  0.3013  0.02



Entry 5:
First-principles (PBE-GGA) data for a geometry-optimized HgSbMo2 structure, as listed in the Alexandria database.

Calculated values
Offset from the most stable computed form = 359.8 meV per atom
Formation energy from raw total energies = 0.63 eV per atom
SG = Immm, No. 71
Theoretical density = 11.4 g/cm³
Size of the total moment = 0.00 Bohr magnetons per cell

a = 5.4261 Å, b = 5.4261 Å, c = 5.4261 Å
α = 143.42°, β = 127.00°, γ = 66.12°
Atoms (fractional coordinates):
Hg  0.2500  0.7500  0.5000
Mo  0.9868  0.9868  0.0000
Mo  0.5132  0.5132  0.0000
Sb  0.7500  0.2500  0.5000



Entry 6:
First-principles (PBE-GGA) data for a geometry-optimized HgSbMo structure, as listed in the Alexandria database.

Calculated values
Offset from the most stable computed form = 0.0 meV per atom
Formation energy from raw total energies = 0.44 eV per atom
SG = I4mm, No. 107
Theoretical density = 11.3 g/cm³
Size of the total moment = 0.49 Bohr magnetons per cell

a = 5.6389 Å, b = 5.6389 Å, c = 5.6389 Å
α = 143.97°, β = 143.98°, γ = 51.87°
Site moments in Bohr magnetons follow the coordinates.
Atoms (fractional coordinates):
Hg  0.9941  0.9941  0.0000  0.01
Mo  0.3163  0.3163  0.0000  0.45
Sb  0.6896  0.6896  0.0000  -0.01



Entry 7:
First-principles (PBE-GGA) data for a geometry-optimized HgSbMo2 structure, as listed in the Alexandria database.

Calculated values
Offset from the most stable computed form = 320.5 meV per atom
Formation energy from raw total energies = 0.59 eV per atom
SG = C2/m, No. 12
Theoretical density = 11.4 g/cm³
Size of the total moment = 0.00 Bohr magnetons per cell

a = 4.8232 Å, b = 4.8232 Å, c = 5.3403 Å
α = 78.46°, β = 78.46°, γ = 38.01°
Atoms (fractional coordinates):
Hg  0.2500  0.2500  0.2500
Mo  0.0056  0.0056  0.9948
Mo  0.4944  0.4944  0.5052
Sb  0.7500  0.7500  0.7500



Entry 8:
First-principles (PBE-GGA) data for a geometry-optimized HgSbMo structure, as listed in the Alexandria database.

Calculated values
Offset from the most stable computed form = 22.6 meV per atom
Formation energy from raw total energies = 0.46 eV per atom
SG = P3m1, No. 156
Theoretical density = 10.6 g/cm³
Size of the total moment = 0.00 Bohr magnetons per cell

a = 3.2705 Å, b = 3.2705 Å, c = 7.0791 Å
α = 90.00°, β = 90.00°, γ = 120.00°
Atoms (fractional coordinates):
Hg  0.0000  0.0000  0.0264
Mo  0.6667  0.3333  0.3478
Sb  0.3333  0.6667  0.6258



Entry 9:
First-principles (PBE-GGA) data for a geometry-optimized HgSbMo3 structure, as listed in the Alexandria database.

Calculated values
Offset from the most stable computed form = 0.0 meV per atom
Formation energy from raw total energies = 1.92 eV per atom
SG = Pm-3m, No. 221
Theoretical density = 8.6 g/cm³
Size of the total moment = 0.00 Bohr magnetons per cell

a = 4.9075 Å, b = 4.9075 Å, c = 4.9075 Å
α = 90.00°, β = 90.00°, γ = 90.00°
Atoms (fractional coordinates):
Sb  0.0000  0.0000  0.0000
Mo  0.0000  0.5000  0.0000
Mo  0.0000  0.0000  0.5000
Mo  0.5000  0.0000  0.0000
Hg  0.5000  0.5000  0.5000



Entry 10:
First-principles (PBE-GGA) data for a geometry-optimized HgSb2Mo2 structure, as listed in the Alexandria database.

Calculated values
Formation energy from raw total energies = 0.25 eV per atom
SG = P4/mbm, No. 127
Theoretical density = 10.5 g/cm³
Size of the total moment = 0.00 Bohr magnetons per cell

a = 7.5681 Å, b = 7.5681 Å, c = 3.4987 Å
α = 90.00°, β = 90.00°, γ = 90.00°
Atoms (fractional coordinates):
Sb  0.1525  0.6525  0.5000
Sb  0.6525  0.8475  0.5000
Sb  0.8475  0.3475  0.5000
Sb  0.3475  0.1525  0.5000
Mo  0.3591  0.8591  0.0000
Mo  0.8591  0.6409  0.0000
Mo  0.6409  0.1409  0.0000
Mo  0.1409  0.3591  0.0000
Hg  0.0000  0.0000  0.0000
Hg  0.5000  0.5000  0.0000



Entry 11:
First-principles (PBE-GGA) data for a geometry-optimized HgSbMo3 structure, as listed in the Alexandria database.

Calculated values
Offset from the most stable computed form = 404.5 meV per atom
Formation energy from raw total energies = 2.33 eV per atom
SG = Pm-3m, No. 221
Theoretical density = 8.0 g/cm³
Size of the total moment = 5.31 Bohr magnetons per cell

a = 5.0139 Å, b = 5.0139 Å, c = 5.0139 Å
α = 90.00°, β = 90.00°, γ = 90.00°
Site moments in Bohr magnetons follow the coordinates.
Atoms (fractional coordinates):
Sb  0.5000  0.5000  0.5000  -0.09
Mo  0.0000  0.5000  0.0000  1.42
Mo  0.0000  0.0000  0.5000  1.98
Mo  0.5000  0.0000  0.0000  1.30
Hg  0.0000  0.0000  0.0000  0.06



Entry 12:
First-principles (PBE-GGA) data for a geometry-optimized HgSbMo2 structure, as listed in the Alexandria database.

Calculated values
Offset from the most stable computed form = 407.9 meV per atom
Formation energy from raw total energies = 0.68 eV per atom
SG = Pmmm, No. 47
Theoretical density = 11.4 g/cm³
Size of the total moment = 0.05 Bohr magnetons per cell

a = 3.4070 Å, b = 4.8154 Å, c = 4.5782 Å
α = 90.00°, β = 90.00°, γ = 90.00°
Site moments in Bohr magnetons follow the coordinates.
Atoms (fractional coordinates):
Hg  0.0000  0.5000  0.5000  0.00
Mo  0.0000  0.0000  0.0000  -0.01
Mo  0.5000  0.5000  0.0000  0.05
Sb  0.5000  0.0000  0.5000  0.00



Question: Which of these has the lowest formation energy from raw total energies?
Answer: number 2